# MgRu2W, optimized geometry, DFT PBE-GGA
data_MgRu2W
_chemical_formula_sum 'Mg4 Ru8 W4'
_cell_length_a 7.0242
_cell_length_b 7.0242
_cell_length_c 5.6708
_cell_angle_alpha 90.00
_cell_angle_beta 90.00
_cell_angle_gamma 90.00
_space_group_name_H-M_alt 'I -4 2 d'
_space_group_IT_number 122
_space_group_name_Hall 'I -4 2bw'
loop_
_atom_site_label
_atom_site_fract_x
_atom_site_fract_y
_atom_site_fract_z
Mg1 0.0000 0.0000 0.0000
Ru1 0.2115 0.7500 0.6250
W1 0.0000 0.0000 0.5000
# Raw total energy (eV for the cell shown): -123.72
# Fermi-level density of states (states/eV/cell): 7.1

# MgRu2W, optimized geometry, DFT PBE-GGA
data_MgRu2W
_chemical_formula_sum 'Mg2 Ru4 W2'
_cell_length_a 2.9635
_cell_length_b 4.5595
_cell_length_c 9.1893
_cell_angle_alpha 90.00
_cell_angle_beta 90.00
_cell_angle_gamma 90.00
_space_group_name_H-M_alt 'C m m 2'
_space_group_IT_number 35
loop_
_space_group_symop_operation_xyz
'x,y,z'
'-x,-y,z'
'-x,y,z'
'x,-y,z'
'x+1/2,y+1/2,z'
'-x+1/2,-y+1/2,z'
'-x+1/2,y+1/2,z'
'x+1/2,-y+1/2,z'
loop_
_atom_site_label
_atom_site_fract_x
_atom_site_fract_y
_atom_site_fract_z
Mg1 0.0000 0.0000 0.0000
Ru1 0.0000 0.0000 0.5122
Ru2 0.0000 0.5000 0.7554
W1 0.0000 0.5000 0.2717
# Raw total energy (eV for the cell shown): -63.29
# Fermi-level density of states (states/eV/cell): 11.1

# Mg2RuW, optimized geometry, DFT PBE-GGA
data_Mg2RuW
_chemical_formula_sum 'Mg8 Ru4 W4'
_cell_length_a 6.3311
_cell_length_b 6.3311
_cell_length_c 6.3311
_cell_angle_alpha 90.00
_cell_angle_beta 90.00
_cell_angle_gamma 90.00
_space_group_name_H-M_alt 'F -4 3 m'
_space_group_IT_number 216
_space_group_name_Hall 'F -4 2 3'
loop_
_atom_site_label
_atom_site_fract_x
_atom_site_fract_y
_atom_site_fract_z
Mg1 0.0000 0.0000 0.0000
Mg2 0.2500 0.2500 0.2500
Ru1 0.2500 0.2500 0.7500
W1 0.0000 0.0000 0.5000
# Raw total energy (eV for the cell shown): -99.49
# Distance to the lowest polymorph of the same formula (eV/atom): 0.107
# Fermi-level density of states (states/eV/cell): 1.1

# MgRuW2, optimized geometry, DFT PBE-GGA
data_MgRuW2
_chemical_formula_sum 'Mg1 Ru1 W2'
_cell_length_a 2.7479
_cell_length_b 4.3771
_cell_length_c 5.3387
_cell_angle_alpha 90.00
_cell_angle_beta 100.02
_cell_angle_gamma 90.00
_space_group_name_H-M_alt 'P 1 m 1'
_space_group_IT_number 6
loop_
_space_group_symop_operation_xyz
'x,y,z'
'x,-y,z'
loop_
_atom_site_label
_atom_site_fract_x
_atom_site_fract_y
_atom_site_fract_z
Mg1 0.0000 0.0000 0.0000
Ru1 0.7307 0.5000 0.2369
W1 0.3136 0.5000 0.7459
W2 0.5313 0.0000 0.4921
# Raw total energy (eV for the cell shown): -35.76
# Fermi-level density of states (states/eV/cell): 4.2

# MgZnRuW, optimized geometry, DFT PBE-GGA
data_MgZnRuW
_chemical_formula_sum 'Mg4 Zn4 Ru4 W4'
_cell_length_a 6.2314
_cell_length_b 6.2314
_cell_length_c 6.2314
_cell_angle_alpha 90.00
_cell_angle_beta 90.00
_cell_angle_gamma 90.00
_space_group_name_H-M_alt 'F -4 3 m'
_space_group_IT_number 216
_space_group_name_Hall 'F -4 2 3'
loop_
_atom_site_label
_atom_site_fract_x
_atom_site_fract_y
_atom_site_fract_z
Mg1 0.0000 0.0000 0.0000
Zn1 0.2500 0.2500 0.2500
Ru1 0.2500 0.2500 0.7500
W1 0.0000 0.0000 0.5000
# Raw total energy (eV for the cell shown): -99.28
# Fermi-level density of states (states/eV/cell): 3.1

# YMgRu2, optimized geometry, DFT PBE-GGA
data_YMgRu2
_chemical_formula_sum 'Y2 Mg2 Ru4'
_cell_length_a 9.0061
_cell_length_b 3.3844
_cell_length_c 5.1931
_cell_angle_alpha 90.00
_cell_angle_beta 109.83
_cell_angle_gamma 90.00
_space_group_name_H-M_alt 'C 1 2/m 1'
_space_group_IT_number 12
loop_
_space_group_symop_operation_xyz
'x,y,z'
'-x,-y,-z'
'-x,y,-z'
'x,-y,z'
'x+1/2,y+1/2,z'
'-x+1/2,-y+1/2,-z'
'-x+1/2,y+1/2,-z'
'x+1/2,-y+1/2,z'
loop_
_atom_site_label
_atom_site_fract_x
_atom_site_fract_y
_atom_site_fract_z
Y1 0.0000 0.0000 0.0000
Mg1 0.0000 0.5000 0.5000
Ru1 0.2435 0.0000 0.6905
# Raw total energy (eV for the cell shown): -52.41
# Fermi-level density of states (states/eV/cell): 9.9

# YMg2Ru, optimized geometry, DFT PBE-GGA
data_YMg2Ru
_chemical_formula_sum 'Y1 Mg2 Ru1'
_cell_length_a 3.3023
_cell_length_b 4.7566
_cell_length_c 5.5280
_cell_angle_alpha 90.00
_cell_angle_beta 106.63
_cell_angle_gamma 90.00
_space_group_name_H-M_alt 'P 1 2/m 1'
_space_group_IT_number 10
loop_
_space_group_symop_operation_xyz
'x,y,z'
'-x,-y,-z'
'-x,y,-z'
'x,-y,z'
loop_
_atom_site_label
_atom_site_fract_x
_atom_site_fract_y
_atom_site_fract_z
Y1 0.0000 0.0000 0.0000
Mg1 0.3361 0.5000 0.7139
Ru1 0.5000 0.0000 0.5000
# Raw total energy (eV for the cell shown): -18.88
# Fermi-level density of states (states/eV/cell): 3.7

# YMgRu2, optimized geometry, DFT PBE-GGA
data_YMgRu2
_chemical_formula_sum 'Y1 Mg1 Ru2'
_cell_length_a 3.0081
_cell_length_b 3.0081
_cell_length_c 8.3348
_cell_angle_alpha 90.00
_cell_angle_beta 90.00
_cell_angle_gamma 90.00
_space_group_name_H-M_alt 'P 4 m m'
_space_group_IT_number 99
loop_
_space_group_symop_operation_xyz
'x,y,z'
'-y,x,z'
'-x,-y,z'
'y,-x,z'
'-x,y,z'
'y,x,z'
'x,-y,z'
'-y,-x,z'
loop_
_atom_site_label
_atom_site_fract_x
_atom_site_fract_y
_atom_site_fract_z
Y1 0.0000 0.0000 0.0000
Mg1 0.5000 0.5000 0.3374
Ru1 0.0000 0.0000 0.5632
Ru2 0.5000 0.5000 0.7448
# Raw total energy (eV for the cell shown): -26.40
# Fermi-level density of states (states/eV/cell): 3.8